(1)
# Ta3Os2Ru

Crystalline Ta3Os2Ru at its relaxed geometry (GGA-PBE, Alexandria via LeMat-Bulk).

Energy above the lowest structure with this stoichiometry ... 0.000 eV per atom
Formation enthalpy at 0 K ... -0.289 eV/atom

a = 3.0624 Å, b = 3.0624 Å, c = 10.3319 Å
α = 90.00°, β = 90.00°, γ = 90.00°
Last column: nearest neighbours and their distance in Å.
Space group P4/mmm (No. 123)
One atom of each set of equivalent atoms:
1 Ta 0.0000 0.0000 0.0000 x1  8 Os 2.77, 4 Ta 3.06
2 Ta 0.0000 0.0000 0.3337 x2  4 Ru 2.76, 4 Os 2.77, 4 Ta 3.06
3 Os 0.5000 0.5000 0.1664 x2  8 Ta 2.77, 4 Os 3.06
4 Ru 0.5000 0.5000 0.5000 x1  8 Ta 2.76, 4 Ru 3.06

***

(2)
# ZnInCl3

Crystalline ZnInCl3 at its relaxed geometry (GGA-PBE, Alexandria via LeMat-Bulk).

Energy above the lowest structure with this stoichiometry ... 0.356 eV per atom
Energy relative to the elements, uncorrected ... -0.6689 eV per atom

a = 6.6015 Å, b = 6.6015 Å, c = 12.9042 Å
α = 90.00°, β = 90.00°, γ = 90.00°
Last column: nearest neighbours and their distance in Å.
Space group I-4m2 (No. 119)
One atom of each set of equivalent atoms:
1 Zn 0.0000 0.0000 0.0000 x2  4 Cl 2.25
2 Zn 0.0000 0.5000 0.2500 x2  4 Cl 2.40
3 In 0.0000 0.5000 0.6196 x4  4 Cl 3.27-3.35, 1 In 3.37, 2 Zn 3.64
4 Cl 0.0000 0.0000 0.3378 x4  2 In 3.35, 2 Zn 3.49, 6 Cl 3.49-3.70
5 Cl 0.0000 0.2708 0.1052 x8  2 Zn 2.25-2.40

***

(3)
# CaLuCu2

Crystalline CaLuCu2 at its relaxed geometry (GGA-PBE, Alexandria via LeMat-Bulk).

Energy above the lowest structure with this stoichiometry ... 0.000 eV per atom
Formation enthalpy at 0 K ... -0.197 eV/atom

a = 3.4655 Å, b = 3.4655 Å, c = 7.0228 Å
α = 90.00°, β = 90.00°, γ = 90.00°
Last column: nearest neighbours and their distance in Å.
Space group P4/mmm (No. 123)
One atom of each set of equivalent atoms:
1 Ca 0.0000 0.0000 0.0000 x1  8 Cu 3.18, 4 Ca 3.47, 2 Lu 3.51
2 Lu 0.0000 0.0000 0.5000 x1  8 Cu 2.87
3 Cu 0.5000 0.5000 0.2885 x2  4 Lu 2.87, 1 Cu 2.97, 4 Ca 3.18

***

(4)
# BeAuSe

Crystalline BeAuSe at its relaxed geometry (GGA-PBE, Alexandria via LeMat-Bulk).

Energy above the lowest structure with this stoichiometry ... 0.112 eV per atom
Energy relative to the elements, uncorrected ... 0.0721 eV per atom

a = 3.4100 Å, b = 4.8202 Å, c = 13.2187 Å
α = 90.00°, β = 90.00°, γ = 90.00°
Last column: nearest neighbours and their distance in Å.
Space group Fmm2 (No. 42)
One atom of each set of equivalent atoms:
1 Be 0.0000 0.0000 0.0000 x4  2 Se 2.27, 2 Au 2.39
2 Au 0.0000 0.0000 0.3734 x4  2 Be 2.39
3 Se 0.0000 0.0000 0.6136 x4  2 Be 2.27

***

(5)
# AcYHg2

Crystalline AcYHg2 at its relaxed geometry (GGA-PBE, Alexandria via LeMat-Bulk).

Formation enthalpy at 0 K ... -0.319 eV/atom

a = 4.0207 Å, b = 4.0207 Å, c = 27.6371 Å
α = 90.00°, β = 90.00°, γ = 120.00°
Last column: nearest neighbours and their distance in Å.
Space group R3m (No. 160, hexagonal axes)
One atom of each set of equivalent atoms:
1 Ac 0.0000 0.0000 0.0000 x3  6 Hg 3.40-3.42
2 Y 0.0000 0.0000 0.8330 x3  6 Hg 3.13
3 Hg 0.0000 0.0000 0.4234 x3  3 Y 3.13, 3 Ac 3.40
4 Hg 0.0000 0.0000 0.5759 x3  3 Y 3.13, 3 Ac 3.42

***

(6)
# Ga3Pd

Crystalline Ga3Pd at its relaxed geometry (GGA-PBE, Alexandria via LeMat-Bulk).

Energy above the lowest structure with this stoichiometry ... 0.161 eV per atom
Formation enthalpy at 0 K ... -0.189 eV/atom

a = 6.4698 Å, b = 6.4698 Å, c = 6.4698 Å
α = 90.00°, β = 90.00°, γ = 90.00°
Last column: nearest neighbours and their distance in Å.
Space group Fm-3m (No. 225)
One atom of each set of equivalent atoms:
1 Ga 0.0000 0.0000 0.0000 x4  8 Ga 2.80
2 Ga 0.2500 0.2500 0.2500 x8  4 Pd 2.80, 4 Ga 2.80
3 Pd 0.0000 0.0000 0.5000 x4  8 Ga 2.80

***

(7)
# CaRu2Pb

Crystalline CaRu2Pb at its relaxed geometry (GGA-PBE, Alexandria via LeMat-Bulk).

Formation enthalpy at 0 K ... 0.439 eV/atom

a = 3.2045 Å, b = 4.6038 Å, c = 5.7090 Å
α = 90.00°, β = 95.23°, γ = 90.00°
Last column: nearest neighbours and their distance in Å.
Space group P2/m (No. 10)
One atom of each set of equivalent atoms:
1 Ca 0.0000 0.0000 0.0000 x1  8 Ru 2.98-3.10, 2 Pb 3.14, 2 Ca 3.20
2 Ru 0.4326 0.5000 0.7946 x2  1 Ru 2.35
3 Pb 0.5000 0.0000 0.5000 x1  4 Ru 2.87, 2 Ca 3.14, 2 Pb 3.20

***

(8)
# Ba3GaAs4

Crystalline Ba3GaAs4 at its relaxed geometry (GGA-PBE, Alexandria via LeMat-Bulk).

Formation enthalpy at 0 K ... -0.846 eV/atom

a = 8.8958 Å, b = 11.1476 Å, c = 10.2043 Å
α = 90.00°, β = 90.00°, γ = 90.00°
Last column: nearest neighbours and their distance in Å.
Space group Pnma (No. 62)
One atom of each set of equivalent atoms:
1 Ba 0.0388 0.0510 0.1872 x8  6 As 3.22-3.58
2 Ba 0.1549 0.7500 0.4089 x4  7 As 3.21-3.49
3 Ga 0.2330 0.2500 0.4553 x4  4 As 2.47-2.63
4 As 0.0315 0.7500 0.0855 x4  1 Ga 2.48
5 As 0.1281 0.0402 0.5289 x8  1 As 2.52, 1 Ga 2.63
6 As 0.2019 0.7500 0.7204 x4  1 Ga 2.47